Entry 1:
VASP calculation (PBE) on a relaxed La2Os crystal.

## Properties
The calculation puts the formation energy at 99 kJ/mol of formula units. Its density of states at the Fermi level is 3.0 states/eV per cell. The calculation puts the magnetization at 0.00 μB per formula unit.

Cell: 4.9930 4.9930 3.2344 Å, 90.00 90.00 120.00°
Space group P6/mmm (No. 191)
Symmetry-distinct sites (fractional):
La  0.3333  0.6667  0.0000 x2
Os  0.0000  0.0000  0.5000 x1

Entry 2:
VASP calculation (PBE) on a relaxed CoMo2Pt crystal.

## Properties
The polymorph energy (0 for the lowest one) is 0.214 eV per atom. The calculation puts the formation energy at 29 kJ/mol of formula units. Its density of states at the Fermi level is 14.3 states/eV per cell. The calculation puts the magnetization at 0.40 μB per formula unit.

Cell: 2.7337 2.7337 26.8974 Å, 90.00 90.00 120.00°
Space group R-3m (No. 166, hexagonal axes)
Symmetry-distinct sites (fractional):
Co  0.0000  0.0000  0.0000 x3
Mo  0.0000  0.0000  0.2549 x6
Pt  0.0000  0.0000  0.5000 x3

Entry 3:
VASP calculation (PBE) on a relaxed HfNp2N3 crystal.

## Properties
Its density of states at the Fermi level is 17.5 states/eV per cell. The calculation puts the uncorrected formation energy at -1.317 eV per atom. The calculation puts the magnetization at 6.10 μB per formula unit.

Cell: 3.373 3.373 14.236 Å, 90.00 90.00 90.00°
Space group I4/mmm (No. 139)
Symmetry-distinct sites (fractional):
Hf  0.000  0.000  0.000 x2
Np  0.000  0.000  0.335 x4
N  0.000  0.000  0.159 x4
N  0.000  0.000  0.500 x2

Entry 4:
VASP calculation (PBE) on a relaxed Zr2Mn2Si crystal.

## Properties
Its density of states at the Fermi level is 13.3 states/eV per cell. The calculation puts the uncorrected formation energy at -0.258 eV per atom. The calculation puts the magnetization at 0.95 μB per formula unit.

Cell: 6.154 6.154 4.255 Å, 90.00 90.00 90.00°
Space group P4/mbm (No. 127)
Symmetry-distinct sites (fractional):
Zr  0.185  0.315  0.000 x4
Mn  0.118  0.618  0.500 x4
Si  0.000  0.000  0.500 x2

Entry 5:
VASP calculation (PBE) on a relaxed Pu3Ga4Cu2 crystal.

## Properties
The calculation puts the formation energy at -264 kJ/mol of formula units. Its density of states at the Fermi level is 38.5 states/eV per cell. The calculation puts the magnetization at 16.03 μB per formula unit.

Cell: 10.047 4.648 8.579 Å, 90.00 122.71 90.00°
Space group C2/m (No. 12)
Symmetry-distinct sites (fractional):
Pu  0.000  0.000  0.000 x2
Pu  0.163  0.500  0.665 x4
Ga  0.057  0.000  0.384 x4
Ga  0.223  0.500  0.063 x4
Cu  0.114  0.500  0.281 x4

Entry 6:
VASP calculation (PBE) on a relaxed Cu2AgSe2 crystal.

## Properties
The polymorph energy (0 for the lowest one) is 0.000 eV per atom. Its density of states at the Fermi level is 7.7 states/eV per cell. The calculation puts the uncorrected formation energy at -0.040 eV per atom. The calculation puts the magnetization at 0.00 μB per formula unit.

Cell: 6.900 3.989 7.789 Å, 90.00 90.64 90.00°
Space group C2/m (No. 12)
Symmetry-distinct sites (fractional):
Cu  0.164  0.000  0.301 x4
Ag  0.000  0.500  0.500 x2
Se  0.170  0.000  0.769 x4

Entry 7:
VASP calculation (PBE) on a relaxed TaTl2 crystal.

## Properties
The polymorph energy (0 for the lowest one) is 0.036 eV per atom. The calculation puts the formation energy at 146 kJ/mol of formula units. Its density of states at the Fermi level is 8.5 states/eV per cell. The calculation puts the magnetization at 0.00 μB per formula unit.

Cell: 12.823 3.162 8.408 Å, 90.00 118.11 90.00°
Space group C2/m (No. 12)
Symmetry-distinct sites (fractional):
Ta  0.179  0.000  0.033 x4
Tl  0.050  0.500  0.225 x4
Tl  0.147  0.000  0.624 x4

Entry 8:
VASP calculation (PBE) on a relaxed LiH2Pd crystal.

## Properties
The polymorph energy (0 for the lowest one) is 0.154 eV per atom. Its density of states at the Fermi level is 1.6 states/eV per cell. The calculation puts the magnetization at 0.00 μB per formula unit.

Cell: 2.9427 2.9427 14.2009 Å, 90.00 90.00 120.00°
Space group R3m (No. 160, hexagonal axes)
Symmetry-distinct sites (fractional):
Li  0.0000  0.0000  0.0000 x3
H  0.0000  0.0000  0.2196 x3
H  0.0000  0.0000  0.4191 x3
Pd  0.0000  0.0000  0.8195 x3